(1)
Crystalline TlTc2Ni at its relaxed geometry. Source: Alexandria, functional PBE.

- Crystal system: orthorhombic
- Uncorrected energy: -6.561 eV per atom
- Excess energy over the best structure of this formula in the dataset: 280 meV per atom

Unit cell a=5.130 b=8.490 c=2.899 alpha=90.00 beta=90.00 gamma=90.00
Space group Cmmm (No. 65)
Unique sites:
Tl: 0.000 0.000 0.000 x2
Tc: 0.250 0.250 0.500 x4
Ni: 0.000 0.500 0.000 x2



(2)
Crystalline TlTcNi at its relaxed geometry. Source: Alexandria, functional PBE.

- Crystal system: cubic
- Uncorrected energy: -5.540 eV per atom
- Excess energy over the best structure of this formula in the dataset: 153 meV per atom

Unit cell a=5.980 b=5.980 c=5.980 alpha=90.00 beta=90.00 gamma=90.00
Space group F-43m (No. 216)
Unique sites:
Tl: 0.000 0.000 0.000 x4
Tc: 0.000 0.000 0.500 x4
Ni: 0.250 0.250 0.750 x4



(3)
Crystalline Tl2TcNi at its relaxed geometry. Source: Alexandria, functional PBE.

- Crystal system: monoclinic
- Uncorrected energy: -4.646 eV per atom
- Excess energy over the best structure of this formula in the dataset: 97 meV per atom

Unit cell a=10.744 b=3.039 c=4.878 alpha=90.00 beta=110.77 gamma=90.00
Space group Cm (No. 8)
Unique sites:
Tl: 0.000 0.000 0.000 x2
Tl: 0.217 0.000 0.619 x2
Tc: 0.259 0.500 0.142 x2
Ni: 0.446 0.000 0.469 x2



(4)
Crystalline TlTcNi4 at its relaxed geometry. Source: Alexandria, functional PBE.

- Crystal system: cubic
- Uncorrected energy: -5.708 eV per atom

Unit cell a=6.837 b=6.837 c=6.837 alpha=90.00 beta=90.00 gamma=90.00
Space group F-43m (No. 216)
Unique sites:
Tl: 0.000 0.000 0.000 x4
Tc: 0.250 0.250 0.750 x4
Ni: 0.124 0.124 0.376 x16



Repeat the fourth record exactly.
Crystalline TlTcNi4 at its relaxed geometry. Source: Alexandria, functional PBE.

- Crystal system: cubic
- Uncorrected energy: -5.708 eV per atom

Unit cell a=6.837 b=6.837 c=6.837 alpha=90.00 beta=90.00 gamma=90.00
Space group F-43m (No. 216)
Unique sites:
Tl: 0.000 0.000 0.000 x4
Tc: 0.250 0.250 0.750 x4
Ni: 0.124 0.124 0.376 x16